{"formula": "LiMn2B8O14", "functional": "PBE+U", "state": "optimized geometry", "lattice": [[5.6345, 3.5555, -0.0001], [-5.6345, 3.5555, -0.0001], [0.0000, 0.0580, 5.1757]], "species": ["Li", "Mn", "Mn", "B", "B", "B", "B", "B", "B", "B", "B", "O", "O", "O", "O", "O", "O", "O", "O", "O", "O", "O", "O", "O", "O"], "frac_coords": [[0.9368, 0.0632, 0.5000], [0.3369, 0.3365, 0.2262], [0.6635, 0.6631, 0.7738], [0.6460, 0.8815, 0.2420], [0.1185, 0.3540, 0.7580], [0.2744, 0.7256, 0.0000], [0.7208, 0.2792, 0.0000], [0.7136, 0.2864, 0.5000], [0.8943, 0.6581, 0.2484], [0.3419, 0.1057, 0.7516], [0.2780, 0.7220, 0.5000], [0.1434, 0.1479, 0.7641], [0.8521, 0.8566, 0.2359], [0.7640, 0.1799, 0.2543], [0.8201, 0.2360, 0.7457], [0.8037, 0.5281, 0.4779], [0.4719, 0.1963, 0.5221], [0.8154, 0.5222, 0.0233], [0.1715, 0.7649, 0.2525], [0.5215, 0.8065, 0.4746], [0.1935, 0.4785, 0.5254], [0.5169, 0.8157, 0.0187], [0.2351, 0.8285, 0.7475], [0.4778, 0.1846, 0.9767], [0.1843, 0.4831, 0.9813]], "energy_ev_per_atom": -7.67, "m_tot_mub_per_cell": 9.00, "sg": "No. 5", "polymorph_energy_ev_per_fu": 1.91}